#1
ZrSn3I: relaxed, PBE.

Symmetry = No. 221

Cell: 5.6862 5.6862 5.6862 Å, 90.00 90.00 90.00°
Closest atoms and distances in Å follow each position.
Fractional coordinates of all 5 atoms:
I: 0.5000 0.5000 0.5000  12 Sn 4.02
Sn: 0.0000 0.0000 0.5000  2 Zr 2.84
Sn: 0.5000 0.0000 0.0000  2 Zr 2.84
Sn: 0.0000 0.5000 0.0000  2 Zr 2.84
Zr: 0.0000 0.0000 0.0000  6 Sn 2.84

=====

#2
ZrSn3I: relaxed, PBE.

Symmetry = No. 221

Cell: 5.6850 5.6850 5.6850 Å, 90.00 90.00 90.00°
Closest atoms and distances in Å follow each position.
Fractional coordinates of all 5 atoms:
I: 0.0000 0.0000 0.0000  6 Sn 2.84
Sn: 0.0000 0.0000 0.5000  2 I 2.84
Sn: 0.0000 0.5000 0.0000  2 I 2.84
Zr: 0.5000 0.5000 0.5000  12 Sn 4.02
Sn: 0.5000 0.0000 0.0000  2 I 2.84

=====

Relative energies with respect to the most stable structure, expressed in kJ/mol of atoms: #1 0.0; #2 85.2.

=====

#1
ZrSnI3: relaxed, PBE.

Symmetry = No. 221

Cell: 5.7921 5.7921 5.7921 Å, 90.00 90.00 90.00°
Closest atoms and distances in Å follow each position.
Fractional coordinates of all 5 atoms:
I: 0.0000 0.0000 0.5000  2 Zr 2.90
Sn: 0.5000 0.5000 0.5000  12 I 4.10
Zr: 0.0000 0.0000 0.0000  6 I 2.90
I: 0.0000 0.5000 0.0000  2 Zr 2.90
I: 0.5000 0.0000 0.0000  2 Zr 2.90

=====

#2
ZrSnI3: relaxed, PBE.

Symmetry = No. 221

Cell: 6.0455 6.0455 6.0455 Å, 90.00 90.00 90.00°
Closest atoms and distances in Å follow each position.
Fractional coordinates of all 5 atoms:
I: 0.0000 0.0000 0.5000  2 Sn 3.02
I: 0.5000 0.0000 0.0000  2 Sn 3.02
Sn: 0.0000 0.0000 0.0000  6 I 3.02
I: 0.0000 0.5000 0.0000  2 Sn 3.02
Zr: 0.5000 0.5000 0.5000  12 I 4.27

=====

Relative energies with respect to the most stable structure, expressed in kJ/mol of atoms: #1 0.0; #2 56.4.

=====

#1
SrTa2I: relaxed, PBE.

Symmetry = No. 122

Cell: 4.1649 4.1649 12.6838 Å, 80.55 80.55 90.00°
Closest atoms and distances in Å follow each position.
Fractional coordinates of all 8 atoms:
Ta: 0.8750 0.8687 0.7500  4 Ta 2.91-2.98
Ta: 0.3750 0.3813 0.7500  4 Ta 2.91-2.98
I: 0.0000 0.0000 0.0000  4 Sr 2.95
Sr: 0.2500 0.7500 0.5000  4 I 2.95
Ta: 0.6187 0.1250 0.2500  4 Ta 2.91-2.98
Sr: 0.5000 0.5000 0.0000  4 I 2.95
Ta: 0.1313 0.6250 0.2500  4 Ta 2.91-2.98
I: 0.7500 0.2500 0.5000  4 Sr 2.95

=====

#2
SrTa2I: relaxed, PBE.

Symmetry = No. 225

Cell: 5.0595 5.0595 5.0595 Å, 60.00 60.00 60.00°
Closest atoms and distances in Å follow each position.
Fractional coordinates of all 4 atoms:
I: 0.5000 0.5000 0.5000  8 Ta 3.10
Ta: 0.2500 0.2500 0.2500  4 I 3.10, 4 Sr 3.10
Sr: 0.0000 0.0000 0.0000  8 Ta 3.10
Ta: 0.7500 0.7500 0.7500  4 I 3.10, 4 Sr 3.10

=====

Relative energies with respect to the most stable structure, expressed in kJ/mol of atoms: #1 0.0; #2 61.0.

=====

#1
SrTcI3: relaxed, PBE.

Symmetry = No. 221

Cell: 6.3649 6.3649 6.3649 Å, 90.00 90.00 90.00°
Closest atoms and distances in Å follow each position.
Fractional coordinates of all 5 atoms:
I: 0.5000 0.0000 0.0000  2 Sr 3.18
I: 0.0000 0.5000 0.0000  2 Sr 3.18
Sr: 0.0000 0.0000 0.0000  6 I 3.18
I: 0.0000 0.0000 0.5000  2 Sr 3.18
Tc: 0.5000 0.5000 0.5000  12 I 4.50

=====

#2
SrTcI3: relaxed, PBE.

Symmetry = No. 221

Cell: 5.5433 5.5433 5.5433 Å, 90.00 90.00 90.00°
Closest atoms and distances in Å follow each position.
Fractional coordinates of all 5 atoms:
Sr: 0.5000 0.5000 0.5000  12 I 3.92
I: 0.0000 0.5000 0.0000  2 Tc 2.77
Tc: 0.0000 0.0000 0.0000  6 I 2.77
I: 0.0000 0.0000 0.5000  2 Tc 2.77
I: 0.5000 0.0000 0.0000  2 Tc 2.77

=====

Relative energies with respect to the most stable structure, expressed in kJ/mol of atoms: #1 33.4; #2 0.0.

=====

#1
SrTeI2: relaxed, PBE.

Symmetry = No. 225

Cell: 5.9462 5.9462 5.9462 Å, 60.00 60.00 60.00°
Closest atoms and distances in Å follow each position.
Fractional coordinates of all 4 atoms:
I: 0.2500 0.2500 0.2500  4 Te 3.64, 4 Sr 3.64
I: 0.7500 0.7500 0.7500  4 Sr 3.64, 4 Te 3.64
Te: 0.5000 0.5000 0.5000  8 I 3.64
Sr: 0.0000 0.0000 0.0000  8 I 3.64

=====

#2
SrTeI2: relaxed, PBE.

Symmetry = No. 122

Cell: 5.4560 5.4560 11.6789 Å, 76.49 76.49 90.00°
Closest atoms and distances in Å follow each position.
Fractional coordinates of all 8 atoms:
I: 0.8750 0.8783 0.7500  2 Te 3.36, 2 Sr 3.37
Sr: 0.2500 0.7500 0.5000  4 I 3.37
Te: 0.7500 0.2500 0.5000  4 I 3.36
I: 0.6283 0.1250 0.2500  2 Te 3.36, 2 Sr 3.37
I: 0.3750 0.3717 0.7500  2 Te 3.36, 2 Sr 3.37
Sr: 0.5000 0.5000 0.0000  4 I 3.37
Te: 0.0000 0.0000 0.0000  4 I 3.36
I: 0.1217 0.6250 0.2500  2 Te 3.36, 2 Sr 3.37

=====

Relative energies with respect to the most stable structure, expressed in kJ/mol of atoms: #1 7.0; #2 0.0.

=====

#1
SrTe2I: relaxed, PBE.

Symmetry = No. 166

Cell: 9.1950 9.1950 9.1950 Å, 33.11 33.11 33.11°
Closest atoms and distances in Å follow each position.
Fractional coordinates of all 4 atoms:
Te: 0.8871 0.8871 0.8871  1 I 2.94
I: 0.0000 0.0000 0.0000  2 Te 2.94
Sr: 0.5000 0.5000 0.5000  6 Te 3.33
Te: 0.1129 0.1129 0.1129  1 I 2.94

=====

#2
SrTe2I: relaxed, PBE.

Symmetry = No. 225

Cell: 5.8028 5.8028 5.8028 Å, 60.00 60.00 60.00°
Closest atoms and distances in Å follow each position.
Fractional coordinates of all 4 atoms:
Sr: 0.0000 0.0000 0.0000  8 Te 3.55
I: 0.5000 0.5000 0.5000  8 Te 3.55
Te: 0.7500 0.7500 0.7500  4 I 3.55, 4 Sr 3.55
Te: 0.2500 0.2500 0.2500  4 I 3.55, 4 Sr 3.55

=====

#3
SrTe2I: relaxed, PBE.

Symmetry = No. 122

Cell: 6.2618 6.2618 10.5395 Å, 72.72 72.72 90.00°
Closest atoms and distances in Å follow each position.
Fractional coordinates of all 8 atoms:
I: 0.0000 0.0000 0.0000  4 Te 3.20
Sr: 0.5000 0.5000 0.0000  4 Te 3.32
Sr: 0.2500 0.7500 0.5000  4 Te 3.32
Te: 0.3750 0.3556 0.7500  2 I 3.20, 2 Sr 3.32
Te: 0.6444 0.1250 0.2500  2 I 3.20, 2 Sr 3.32
Te: 0.8750 0.8944 0.7500  2 I 3.20, 2 Sr 3.32
Te: 0.1056 0.6250 0.2500  2 I 3.20, 2 Sr 3.32
I: 0.7500 0.2500 0.5000  4 Te 3.20

=====

Relative energies with respect to the most stable structure, expressed in kJ/mol of atoms: #1 0.0; #2 25.5; #3 24.6.

=====

#1
SrTe3I: relaxed, PBE.

Symmetry = No. 221

Cell: 6.4178 6.4178 6.4178 Å, 90.00 90.00 90.00°
Closest atoms and distances in Å follow each position.
Fractional coordinates of all 5 atoms:
Te: 0.0000 0.5000 0.0000  2 Sr 3.21
Sr: 0.0000 0.0000 0.0000  6 Te 3.21
Te: 0.5000 0.0000 0.0000  2 Sr 3.21
Te: 0.0000 0.0000 0.5000  2 Sr 3.21
I: 0.5000 0.5000 0.5000  12 Te 4.54

=====

#2
SrTe3I: relaxed, PBE.

Symmetry = No. 221

Cell: 5.8750 5.8750 5.8750 Å, 90.00 90.00 90.00°
Closest atoms and distances in Å follow each position.
Fractional coordinates of all 5 atoms:
Te: 0.0000 0.5000 0.0000  2 I 2.94
Te: 0.0000 0.0000 0.5000  2 I 2.94
Sr: 0.5000 0.5000 0.5000  12 Te 4.15
I: 0.0000 0.0000 0.0000  6 Te 2.94
Te: 0.5000 0.0000 0.0000  2 I 2.94

=====

Relative energies with respect to the most stable structure, expressed in kJ/mol of atoms: #1 28.4; #2 0.0.

=====

#1
SrTe2I8: relaxed, PBE.

Symmetry = No. 12

Cell: 8.8437 8.6592 8.6592 Å, 71.26 66.43 66.43°
Closest atoms and distances in Å follow each position.
Fractional coordinates of all 11 atoms:
I: 0.7619 0.1532 0.7469  1 Sr 3.25, 2 Te 3.36-3.56
Te: 0.4265 0.1499 0.1499  2 I 2.75-2.85
I: 0.2381 0.2531 0.8468  1 Sr 3.25, 2 Te 3.36-3.56
I: 0.2381 0.8468 0.2531  1 Sr 3.25, 2 Te 3.36-3.56
Sr: 0.0000 0.0000 0.0000  6 I 3.25-3.42
I: 0.1228 0.3468 0.3468  1 Te 2.75
I: 0.3637 0.7484 0.7484  1 Te 2.85
I: 0.7619 0.7469 0.1532  1 Sr 3.25, 2 Te 3.36-3.56
I: 0.8772 0.6532 0.6532  1 Te 2.75
Te: 0.5735 0.8501 0.8501  2 I 2.75-2.85
I: 0.6363 0.2516 0.2516  1 Te 2.85

=====

#2
SrTe2I8: relaxed, PBE.

Symmetry = No. 147

Cell: 6.4484 9.8951 9.8955 Å, 120.00 90.00 90.00°
Closest atoms and distances in Å follow each position.
Fractional coordinates of all 11 atoms:
Te: 0.7738 0.6667 0.3333  4 I 2.92-3.15
I: 0.7380 0.3334 0.6667  2 Te 3.15-3.30
Sr: 0.0000 0.0000 0.0000  6 I 3.33
I: 0.7234 0.8375 0.6725  1 Te 2.92
I: 0.2766 0.6726 0.8350  1 Te 2.92
Te: 0.2262 0.3333 0.6667  4 I 2.92-3.15
I: 0.7234 0.3274 0.1650  1 Te 2.92
I: 0.2766 0.1625 0.3275  1 Te 2.92
I: 0.2620 0.6666 0.3333  2 Te 3.15-3.30
I: 0.2766 0.1650 0.8375  1 Te 2.92
I: 0.7234 0.8350 0.1625  1 Te 2.92

=====

Relative energies with respect to the most stable structure, expressed in kJ/mol of atoms: #1 0.0; #2 5.6.

=====

#1
SrVTeI2: relaxed, PBE.

Symmetry = No. 123

Cell: 6.1790 6.1790 6.4701 Å, 90.00 90.00 90.00°
Closest atoms and distances in Å follow each position.
Fractional coordinates of all 5 atoms:
I: 0.0000 0.5000 0.0000  2 Sr 3.09
I: 0.5000 0.0000 0.0000  2 Sr 3.09
Te: 0.0000 0.0000 0.5000  2 Sr 3.24
V: 0.5000 0.5000 0.5000  4 Te 4.37, 8 I 4.47
Sr: 0.0000 0.0000 0.0000  4 I 3.09, 2 Te 3.24

=====

#2
SrVTeI2: relaxed, PBE.

Symmetry = No. 123

Cell: 5.5101 5.5101 5.6813 Å, 90.00 90.00 90.00°
Closest atoms and distances in Å follow each position.
Fractional coordinates of all 5 atoms:
Te: 0.0000 0.0000 0.5000  2 V 2.84
I: 0.5000 0.0000 0.0000  2 V 2.76
I: 0.0000 0.5000 0.0000  2 V 2.76
Sr: 0.5000 0.5000 0.5000  4 Te 3.90, 8 I 3.96
V: 0.0000 0.0000 0.0000  4 I 2.76, 2 Te 2.84

=====

Relative energies with respect to the most stable structure, expressed in kJ/mol of atoms: #1 73.6; #2 0.0.

=====

#1
SrVTe2I: relaxed, PBE.

Symmetry = No. 123

Cell: 6.2203 6.2203 6.1199 Å, 90.00 90.00 90.00°
Closest atoms and distances in Å follow each position.
Fractional coordinates of all 5 atoms:
Te: 0.0000 0.5000 0.0000  2 Sr 3.11
I: 0.0000 0.0000 0.5000  2 Sr 3.06
Te: 0.5000 0.0000 0.0000  2 Sr 3.11
Sr: 0.0000 0.0000 0.0000  2 I 3.06, 4 Te 3.11
V: 0.5000 0.5000 0.5000  8 Te 4.36, 4 I 4.40

=====

#2
SrVTe2I: relaxed, PBE.

Symmetry = No. 123

Cell: 5.4018 5.4018 5.6311 Å, 90.00 90.00 90.00°
Closest atoms and distances in Å follow each position.
Fractional coordinates of all 5 atoms:
Te: 0.5000 0.0000 0.0000  2 V 2.70
V: 0.0000 0.0000 0.0000  4 Te 2.70, 2 I 2.82
I: 0.0000 0.0000 0.5000  2 V 2.82
Te: 0.0000 0.5000 0.0000  2 V 2.70
Sr: 0.5000 0.5000 0.5000  4 I 3.82, 8 Te 3.90

=====

Relative energies with respect to the most stable structure, expressed in kJ/mol of atoms: #1 98.3; #2 0.0.

=====

#1
SrTe2WI: relaxed, PBE.

Symmetry = No. 123

Cell: 5.3172 5.3172 5.8792 Å, 90.00 90.00 90.00°
Closest atoms and distances in Å follow each position.
Fractional coordinates of all 5 atoms:
I: 0.0000 0.0000 0.5000  2 W 2.94
Te: 0.0000 0.5000 0.0000  2 W 2.66
W: 0.0000 0.0000 0.0000  4 Te 2.66, 2 I 2.94
Sr: 0.5000 0.5000 0.5000  4 I 3.76, 8 Te 3.96
Te: 0.5000 0.0000 0.0000  2 W 2.66

=====

#2
SrTe2WI: relaxed, PBE.

Symmetry = No. 123

Cell: 6.2721 6.2721 6.0354 Å, 90.00 90.00 90.00°
Closest atoms and distances in Å follow each position.
Fractional coordinates of all 5 atoms:
Te: 0.0000 0.5000 0.0000  2 Sr 3.14
Te: 0.5000 0.0000 0.0000  2 Sr 3.14
W: 0.5000 0.5000 0.5000  8 Te 4.35, 4 I 4.44
I: 0.0000 0.0000 0.5000  2 Sr 3.02
Sr: 0.0000 0.0000 0.0000  2 I 3.02, 4 Te 3.14

=====

Relative energies with respect to the most stable structure, expressed in kJ/mol of atoms: #1 0.0; #2 116.5.

=====

#1
SrYTeI2: relaxed, PBE.

Symmetry = No. 123

Cell: 5.9276 5.9276 5.9714 Å, 90.00 90.00 90.00°
Closest atoms and distances in Å follow each position.
Fractional coordinates of all 5 atoms:
I: 0.0000 0.5000 0.0000  2 Y 2.96
Te: 0.0000 0.0000 0.5000  2 Y 2.99
Y: 0.0000 0.0000 0.0000  4 I 2.96, 2 Te 2.99
I: 0.5000 0.0000 0.0000  2 Y 2.96
Sr: 0.5000 0.5000 0.5000  4 Te 4.19, 8 I 4.21

=====

#2
SrYTeI2: relaxed, PBE.

Symmetry = No. 123

Cell: 6.0382 6.0382 6.3969 Å, 90.00 90.00 90.00°
Closest atoms and distances in Å follow each position.
Fractional coordinates of all 5 atoms:
Te: 0.0000 0.0000 0.5000  2 Sr 3.20
Y: 0.5000 0.5000 0.5000  4 Te 4.27, 8 I 4.40
I: 0.5000 0.0000 0.0000  2 Sr 3.02
I: 0.0000 0.5000 0.0000  2 Sr 3.02
Sr: 0.0000 0.0000 0.0000  4 I 3.02, 2 Te 3.20

=====

Relative energies with respect to the most stable structure, expressed in kJ/mol of atoms: #1 0.0; #2 51.2.